1.
First-principles (PBE-GGA) data for a geometry-optimized SrSiRh2 structure, as listed in Alexandria.

Properties
The calculation puts the total energy at -6.0171 eV per atom.

Lattice parameters (Å, degrees): 4.071 4.071 6.312 70.94 70.94 60.02
Fractional coordinates of all 4 atoms:
Rh: 0.789 0.789 0.633
Rh: 0.045 0.045 0.862
Si: 0.424 0.424 0.727
Sr: 0.242 0.242 0.278

2.
First-principles (PBE-GGA) data for a geometry-optimized Sr2SiRh structure, as listed in Alexandria.

Properties
The calculation puts the total energy at -4.4421 eV per atom.

Lattice parameters (Å, degrees): 6.128 6.128 5.186 64.97 64.97 37.85
Fractional coordinates of all 4 atoms:
Sr: 0.766 0.766 0.734
Rh: 0.576 0.576 0.424
Si: 0.187 0.187 0.313
Sr: 0.970 0.970 0.030

3.
First-principles (PBE-GGA) data for a geometry-optimized SrSi2Rh3 structure, as listed in Alexandria.

Properties
The calculation puts the total energy at -6.5038 eV per atom.

Lattice parameters (Å, degrees): 4.031 8.325 9.897 107.29 90.00 104.01
Fractional coordinates of all 18 atoms:
Sr: 0.158 0.317 0.699
Sr: 0.000 0.000 0.000
Si: 0.805 0.611 0.877
Sr: 0.842 0.683 0.301
Rh: 0.677 0.354 0.960
Si: 0.195 0.389 0.123
Rh: 0.376 0.752 0.799
Rh: 0.218 0.436 0.394
Si: 0.360 0.719 0.558
Si: 0.471 0.941 0.227
Rh: 0.323 0.646 0.040
Rh: 0.957 0.914 0.665
Rh: 0.624 0.248 0.201
Rh: 0.500 0.000 0.500
Si: 0.529 0.059 0.773
Si: 0.640 0.281 0.442
Rh: 0.043 0.086 0.335
Rh: 0.782 0.564 0.606

4.
First-principles (PBE-GGA) data for a geometry-optimized Sr4SiRh structure, as listed in Alexandria.

Properties
The calculation puts the total energy at -2.3922 eV per atom.

Lattice parameters (Å, degrees): 6.468 6.468 6.468 60.00 60.00 60.00
Fractional coordinates of all 6 atoms:
Sr: 0.375 0.375 0.874
Sr: 0.375 0.874 0.375
Sr: 0.874 0.375 0.375
Rh: 0.750 0.750 0.750
Si: 0.000 0.000 0.000
Sr: 0.375 0.375 0.375